Entry from Alexandria: a geometry-optimized AcPmHg structure (PBE).

Cell: 3.588 17.465 6.705 Å, 90.00 90.00 90.00°
Space group Cmcm (No. 63)
One atom of each set of equivalent atoms:
Ac: 0.000 0.000 0.000 [4 per cell]
Pm: 0.000 0.191 0.250 [4 per cell]
Hg: 0.000 0.364 0.250 [4 per cell]

Properties
- D(E_F): 15.4 states/eV/cell
- Energy relative to the elements: 40 meV per atom

---

Entry from Alexandria: a geometry-optimized AcPm2Hg2 structure (PBE).

Cell: 3.948 21.244 3.875 Å, 90.00 90.00 90.00°
Space group Cmmm (No. 65)
One atom of each set of equivalent atoms:
Ac: 0.000 0.000 0.000 [2 per cell]
Pm: 0.000 0.180 0.000 [4 per cell]
Hg: 0.000 0.398 0.500 [4 per cell]

Properties
- D(E_F): 11.7 states/eV/cell
- Energy relative to the elements: -270 meV per atom

---

Entry from Alexandria: a geometry-optimized AcPmHg4 structure (PBE).

Cell: 8.670 8.670 8.670 Å, 90.00 90.00 90.00°
Space group F-43m (No. 216)
One atom of each set of equivalent atoms:
Ac: 0.000 0.000 0.000 [4 per cell]
Pm: 0.250 0.250 0.750 [4 per cell]
Hg: 0.125 0.125 0.375 [16 per cell]

Properties
- D(E_F): 8.3 states/eV/cell
- Energy relative to the elements: -300 meV per atom

---

| no. | ΔE to the lowest computed polymorph (meV per atom) |
| --- | --- |
| 1 | 372.2 |
| 2 | 0.0 |
| 3 | 131.9 |